Computed, not measured: a relaxed structure of Cd2SF2 at the PBE-GGA level of DFT.

## Properties
Its space-group type is No. 166. Its relative energy among the computed polymorphs is 0 meV/atom. The value obtained for the uncorrected formation energy is -1.437 eV per atom.

The structure in POSCAR format:
```
Cd2SF2
1.0
1.862 1.075 7.891
-1.862 1.075 7.891
0.000 -2.150 7.891
Cd S F
2 1 2
Cartesian
0.000 0.000 2.329
0.000 0.000 21.343
0.000 0.000 11.836
0.000 0.000 6.519
0.000 0.000 17.154
```